Entry 1:
The following is a DFT calculation (PBE-GGA) of Nd6Sm5Sc2 after structural relaxation.

```
26
Lattice="3.5274 0.0000 0.0000 0.0000 10.8916 0.0000 0.0000 0.0000 22.8187" Properties=species:S:1:pos:R:3 pbc="T T T"
Nd 0.0000 0.3032 2.5860
Sc 0.0000 9.0899 5.2255
Sm 1.7637 4.5201 17.0860
Nd 0.0000 1.5271 8.7438
Nd 0.0000 5.7490 8.8233
Sc 0.0000 3.6441 6.1839
Sm 1.7637 0.0000 11.4093
Nd 1.7637 9.0888 8.2284
Nd 1.7637 3.6430 3.1809
Sm 1.7637 9.9659 17.1420
Sm 1.7637 0.9257 5.6767
Sm 1.7637 7.2544 11.5542
Nd 0.0000 5.1427 13.9954
Nd 0.0000 3.9187 20.1532
Sm 1.7637 9.0830 0.1449
Nd 1.7637 7.2486 19.6377
Nd 0.0000 6.9729 2.6655
Nd 1.7637 1.8028 14.5903
Sc 0.0000 1.8017 17.5932
Sm 1.7637 6.3715 5.7326
Nd 0.0000 10.5885 20.2327
Nd 0.0000 9.3645 14.0749
Sm 1.7637 5.4458 0.0000
Sm 1.7637 3.6372 11.2645
Sm 1.7637 1.8086 22.6738
Sc 0.0000 7.2475 16.6348
```

Calculated total energy ... -4.85 eV/atom
Energy of formation ... 142 meV/atom
SG ... Pbam, No. 55

---

Entry 2:
The following is a DFT calculation (PBE-GGA) of La2CoH6Ru after structural relaxation.

```
10
Lattice="5.2478 0.0130 0.0076 0.0130 5.2479 0.0075 -2.6249 -2.6248 3.7223" Properties=species:S:1:pos:R:3 pbc="T T T"
La 2.6270 0.0116 1.8680
H -1.3505 -1.3478 3.7226
La 0.0089 2.6297 1.8679
H 1.3554 -1.3416 3.7291
Ru 0.0055 0.0083 3.7290
H 0.0004 0.0031 1.8030
H 2.6355 2.6383 1.9329
Co 2.6230 -2.6091 3.7291
H 3.9865 3.9891 0.0133
H -1.3443 1.3581 3.7291
```

Calculated total energy ... -5.07 eV/atom
SG ... C2/m, No. 12

---

Entry 3:
The following is a DFT calculation (PBE-GGA) of BiSb2TeCl after structural relaxation.

```
5
Lattice="5.9043 0.0000 0.0000 0.0000 5.9043 0.0000 0.0000 0.0000 5.9129" Properties=species:S:1:pos:R:3 pbc="T T T"
Sb 0.0000 2.9522 0.0000
Te 0.0000 0.0000 2.9565
Cl 2.9522 2.9522 2.9565
Sb 2.9522 0.0000 0.0000
Bi 0.0000 0.0000 0.0000
```

Calculated total energy ... -2.67 eV/atom
SG ... P4/mmm, No. 123
Formation energy (no corrections) ... 0.753 eV/atom

---

Entry 4:
The following is a DFT calculation (PBE-GGA) of Sm2Y2Pb2C after structural relaxation.

```
7
Lattice="4.8535 0.0000 0.0000 0.0000 4.8535 0.0000 -2.4267 -2.4267 8.2289" Properties=species:S:1:pos:R:3 pbc="T T T"
Sm 2.4267 2.4267 5.6173
Y 2.4267 0.0000 0.0000
Pb 2.4267 2.4267 2.3042
Pb 0.0000 0.0000 5.9247
Y 0.0000 2.4267 0.0000
Sm 0.0000 0.0000 2.6115
C 0.0000 0.0000 0.0000
```

Calculated total energy ... -6.16 eV/atom
Energy of formation ... -586 meV/atom
SG ... I4/mmm, No. 139

---

Entry 5:
The following is a DFT calculation (PBE-GGA) of Ce4Dy2Pb3O2 after structural relaxation.

```
11
Lattice="-2.0535 1.3395 -4.0514 -4.2563 -0.3233 2.0505 3.9920 11.9892 4.7082" Properties=species:S:1:pos:R:3 pbc="T T T"
Ce -0.8828 2.8189 -1.3881
O -2.9773 3.1602 -0.2136
Pb -2.6219 8.4654 1.3604
Ce -1.9842 1.9875 1.6629
Dy -2.8272 5.4001 0.4510
O 0.6595 9.8452 2.9210
Ce -0.3336 11.0179 1.0445
Pb 0.3041 4.5400 1.3470
Pb 0.0000 0.0000 0.0000
Ce -1.4350 10.1865 4.0954
Dy 0.5094 7.6053 2.2564
```

Calculated total energy ... -6.17 eV/atom
SG ... I4/mmm, No. 139
Formation energy (no corrections) ... -1.266 eV/atom

---

Entry 6:
The following is a DFT calculation (PBE-GGA) of Ba2TeOs2 after structural relaxation.

```
5
Lattice="-3.0158 5.0648 2.3323 1.7349 -1.6677 5.8648 2.6590 3.8332 3.7295" Properties=species:S:1:pos:R:3 pbc="T T T"
Te 0.0000 0.0000 0.0000
Os 1.0535 4.9074 7.9360
Os 0.3246 2.3229 3.9906
Ba -0.4986 5.2982 5.0802
Ba 1.8767 1.9320 6.8464
```

Calculated total energy ... -5.43 eV/atom
SG ... I4/mmm, No. 139
Formation energy (no corrections) ... 0.455 eV/atom

---

Question: What is the formula in the third record?
Answer: BiSb2TeCl